The following is a DFT calculation (PBE) of an optimized crystal structure of ZrSc2AlTc.

Results
Space-group type ... P4/mmm
DOS at the Fermi energy ... 1.200 states/eV/atom
Calculated volume ... 24.45 Å³ per atom
Formation enthalpy at 0 K ... 5.20 eV per formula unit
Final energy ... -6.02 eV per atom

abc: 5.112 5.112 4.678
angles: 90.00 90.00 90.00
Fractional positions:
1 Zr 0.000 0.000 0.000
2 Sc 0.000 0.500 0.000
3 Sc 0.500 0.000 0.000
4 Al 0.500 0.500 0.500
5 Tc 0.000 0.000 0.500